The following is a meta-GGA SCAN calculation of TlCdIr2 at its PBEsol-relaxed geometry, from Alexandria via LeMat-Bulk.

abc: 2.902 4.652 5.091
angles: 90.00 90.53 90.00
Space group P2/m (No. 10)
Symmetry-distinct sites (fractional):
Tl (0.000, 0.000, 0.000) (multiplicity 1)
Cd (0.500, 0.000, 0.500) (multiplicity 1)
Ir (0.236, 0.500, 0.735) (multiplicity 2)

DFT formation energy in eV/atom: 0.541
DOS at the Fermi energy in states/eV/f.u.: 2.02
Calculated volume in Å³/atom: 17.19
M_tot in μB per formula unit: 0.00
VASP energy in eV per cell: -242.8